Material: BeSbAsBr2
Method: DFT, meta-GGA SCAN
State: PBEsol geometry

Structure (POSCAR):
```
BeSbAsBr2
1.0
-4.500 0.435 0.585
-0.206 -4.267 1.589
0.771 1.699 4.663
Sb As Br Be
1 1 2 1
Cartesian
-1.967 -1.066 3.419
0.386 0.850 2.331
-0.103 -2.134 0.795
-2.250 0.218 0.293
0.000 0.000 0.000
```

Space-group type = P4/mmm
Crystal system = tetragonal
N(E_F) = 2.5 states/eV/f.u.
M_tot = 0.00 Bohr magnetons per cell
ΔE_f (raw) = 0.173 eV per atom



Material: CrNi2Cl
Method: DFT, meta-GGA SCAN
State: PBEsol geometry

Structure (POSCAR):
```
CrNi2Cl
1.0
-0.976 -3.278 -0.169
2.922 -0.948 1.512
-1.862 0.358 3.823
Ni Cl Cr
2 1 1
Cartesian
-0.488 -1.639 -0.084
1.461 -0.474 0.756
0.042 -1.934 2.583
-0.931 0.179 1.911
```

Space-group type = P4/mmm
Crystal system = tetragonal
Excess energy over the best structure of this formula in the dataset = 227 meV/atom
N(E_F) = 3.4 states/eV/f.u.
M_tot = 3.10 Bohr magnetons per cell
ΔE_f (raw) = 0.533 eV per atom



Material: LaYBr2
Method: DFT, meta-GGA SCAN
State: PBEsol geometry

Structure (POSCAR):
```
LaYBr2
1.0
5.475 0.000 0.000
2.737 4.741 0.000
2.737 1.580 4.470
Y La Br
1 1 2
Cartesian
8.212 4.741 3.353
5.475 3.161 2.235
0.000 0.000 0.000
2.737 1.580 1.118
```

Space-group type = F-43m
Crystal system = cubic
Excess energy over the best structure of this formula in the dataset = 723 meV/atom
N(E_F) = 2.4 states/eV/f.u.
M_tot = 4.00 Bohr magnetons per cell
ΔE_f (raw) = -0.558 eV per atom



Material: SrGa3Os
Method: DFT, meta-GGA SCAN
State: PBEsol geometry

Structure (POSCAR):
```
SrGa3Os
1.0
4.779 0.000 0.000
0.000 4.779 0.000
0.000 0.000 4.779
Sr Os Ga
1 1 3
Cartesian
2.390 2.390 2.390
0.000 0.000 0.000
2.390 0.000 0.000
0.000 2.390 0.000
0.000 0.000 2.390
```

Space-group type = Pm-3m
Crystal system = cubic
Energy of formation from the pure elements = -0.43 eV per atom
N(E_F) = 2.8 states/eV/f.u.
M_tot = 0.00 Bohr magnetons per cell



Material: SrLa2As
Method: DFT, meta-GGA SCAN
State: PBEsol geometry

Structure (POSCAR):
```
SrLa2As
1.0
5.427 0.000 0.000
2.713 4.700 0.000
2.713 1.567 4.431
Sr La As
1 2 1
Cartesian
2.713 1.567 1.108
0.000 0.000 0.000
8.140 4.700 3.323
5.427 3.133 2.215
```

Space-group type = F-43m
Crystal system = cubic
Energy of formation from the pure elements = -0.21 eV per atom
N(E_F) = 3.0 states/eV/f.u.
M_tot = 4.24 Bohr magnetons per cell



Material: MgFePb2
Method: DFT, meta-GGA SCAN
State: PBEsol geometry

Structure (POSCAR):
```
MgFePb2
1.0
5.067 0.000 0.000
2.534 4.388 0.000
2.534 1.463 4.137
Pb Fe Mg
2 1 1
Cartesian
2.534 1.463 1.034
0.000 0.000 0.000
5.067 2.926 2.069
7.601 4.388 3.103
```

Space-group type = F-43m
Crystal system = cubic
Energy of formation from the pure elements = 0.47 eV per atom
N(E_F) = 4.7 states/eV/f.u.
M_tot = 2.68 Bohr magnetons per cell



Material: ZrZn2Au
Method: DFT, meta-GGA SCAN
State: PBEsol geometry

Structure (POSCAR):
```
ZrZn2Au
1.0
-0.365 2.328 -1.936
-2.532 -3.554 -1.395
-3.296 2.306 3.395
Zr Zn Au
1 2 1
Cartesian
-1.648 1.153 1.697
-2.033 -0.666 -0.417
-4.159 1.746 0.481
-0.182 1.164 -0.968
```

Space-group type = C2/m
Crystal system = monoclinic
Energy of formation from the pure elements = -0.30 eV per atom
N(E_F) = 2.2 states/eV/f.u.
M_tot = 0.00 Bohr magnetons per cell



Material: CoSb2Pt
Method: DFT, meta-GGA SCAN
State: PBEsol geometry

Structure (POSCAR):
```
CoSb2Pt
1.0
3.323 0.024 0.025
-0.029 4.611 0.088
-0.029 -0.088 4.611
Co Sb Pt
1 2 1
Cartesian
1.662 0.012 0.012
-0.014 2.305 0.044
-0.014 -0.044 2.305
1.633 2.273 2.362
```

Space-group type = P4/mmm
Crystal system = tetragonal
Excess energy over the best structure of this formula in the dataset = 0 meV/atom
N(E_F) = 2.0 states/eV/f.u.
M_tot = 1.56 Bohr magnetons per cell
ΔE_f (raw) = 0.239 eV per atom



Material: Li6Zr6HCl18
Method: DFT, meta-GGA SCAN
State: PBEsol geometry

Structure (POSCAR):
```
Li6Zr6HCl18
1.0
8.776 0.000 0.000
-2.925 9.150 0.000
2.925 4.575 7.924
Li Cl Zr H
6 18 6 1
Cartesian
1.399 7.755 3.544
7.377 5.970 4.380
7.250 8.342 7.360
4.452 2.372 2.980
4.325 11.353 4.944
1.526 5.383 0.564
8.792 7.693 5.525
2.941 7.495 1.260
2.910 11.807 7.121
2.933 8.115 7.483
5.844 5.610 0.441
8.769 2.152 2.845
5.835 6.230 6.664
5.835 4.057 4.024
2.918 5.963 4.637
5.866 10.088 6.423
8.792 4.311 5.861
2.941 9.668 3.900
-0.016 6.032 2.399
-0.015 9.414 2.063
5.866 1.918 0.803
0.007 11.573 5.079
2.910 3.637 1.501
5.858 7.762 3.287
4.570 9.376 1.806
7.495 12.048 7.216
4.207 4.349 6.118
1.281 1.677 0.708
10.421 6.026 6.826
-1.644 7.699 1.098
0.000 0.000 0.000
```

Space-group type = R-3
Crystal system = trigonal
Final energy = -13.0273 eV per atom
N(E_F) = 15.5 states/eV/f.u.
M_tot = 1.15 Bohr magnetons per cell



Material: BaAgIO2
Method: DFT, meta-GGA SCAN
State: PBEsol geometry

Structure (POSCAR):
```
BaAgIO2
1.0
-2.595 0.651 3.553
-2.098 -3.833 -0.830
4.742 -3.485 4.101
I O Ba Ag
1 2 1 1
Cartesian
2.371 -1.742 2.050
-1.297 0.325 1.777
-1.049 -1.916 -0.415
0.000 0.000 0.000
0.024 -3.333 3.412
```

Space-group type = P4/mmm
Crystal system = tetragonal
N(E_F) = 1.0 states/eV/f.u.
M_tot = 0.00 Bohr magnetons per cell
ΔE_f (raw) = -0.395 eV per atom



Material: ScTa2Cl
Method: DFT, meta-GGA SCAN
State: PBEsol geometry

Structure (POSCAR):
```
ScTa2Cl
1.0
-3.187 0.505 0.372
-0.613 -1.878 -2.695
-0.122 -4.761 5.417
Sc Ta Cl
1 2 1
Cartesian
-1.949 -1.343 -0.693
-0.675 -5.852 2.160
-1.878 -3.529 2.886
-0.144 -1.916 1.368
```

Space-group type = Amm2
Crystal system = orthorhombic
Excess energy over the best structure of this formula in the dataset = 0 meV/atom
N(E_F) = 1.2 states/eV/f.u.
M_tot = 0.00 Bohr magnetons per cell
ΔE_f (raw) = -0.260 eV per atom



Material: La2ScP
Method: DFT, meta-GGA SCAN
State: PBEsol geometry

Structure (POSCAR):
```
La2ScP
1.0
4.100 0.000 0.000
0.000 4.415 0.000
-2.050 0.000 5.741
P Sc La
1 1 2
Cartesian
2.050 0.000 3.663
2.050 2.208 2.201
0.000 0.000 1.157
0.000 2.208 4.562
```

Space-group type = Amm2
Crystal system = orthorhombic
Energy of formation from the pure elements = -0.76 eV per atom
N(E_F) = 3.5 states/eV/f.u.
M_tot = 0.00 Bohr magnetons per cell



Material: In2WBrCl
Method: DFT, meta-GGA SCAN
State: PBEsol geometry

Structure (POSCAR):
```
In2WBrCl
1.0
4.705 0.000 0.000
0.000 5.381 0.000
0.000 0.000 5.381
Cl In W Br
1 2 1 1
Cartesian
2.353 2.690 2.690
0.000 2.690 0.000
0.000 0.000 2.690
0.000 0.000 0.000
2.353 0.000 0.000
```

Space-group type = P4/mmm
Crystal system = tetragonal
N(E_F) = 3.1 states/eV/f.u.
M_tot = 0.00 Bohr magnetons per cell
ΔE_f (raw) = 0.239 eV per atom



Material: TaTcHg
Method: DFT, meta-GGA SCAN
State: PBEsol geometry

Structure (POSCAR):
```
TaTcHg
1.0
2.877 0.014 0.000
-1.078 2.667 0.000
-0.899 -1.341 6.832
Tc Ta Hg
1 1 1
Cartesian
0.000 0.000 4.402
0.899 1.341 2.458
0.899 1.341 6.804
```

Space-group type = Fmm2
Crystal system = orthorhombic
Energy of formation from the pure elements = 0.23 eV per atom
N(E_F) = 1.7 states/eV/f.u.
M_tot = 0.00 Bohr magnetons per cell



Material: CsRbC3
Method: DFT, meta-GGA SCAN
State: PBEsol geometry

Structure (POSCAR):
```
CsRbC3
1.0
-4.262 1.386 3.508
3.215 -1.433 4.472
1.973 5.331 0.290
Rb C Cs
1 3 1
Cartesian
0.463 2.642 4.135
-2.131 0.693 1.754
1.608 -0.716 2.236
0.986 2.665 0.145
0.000 0.000 0.000
```

Space-group type = Pm-3m
Crystal system = cubic
Energy of formation from the pure elements = 3.21 eV per atom
Excess energy over the best structure of this formula in the dataset = 71 meV/atom
N(E_F) = 1.6 states/eV/f.u.
M_tot = 8.00 Bohr magnetons per cell



Material: ReMo3
Method: DFT, meta-GGA SCAN
State: PBEsol geometry

Structure (POSCAR):
```
ReMo3
1.0
3.109 0.000 0.000
0.000 4.410 0.000
-1.555 -2.205 4.405
Re Mo
1 3
Cartesian
0.000 2.205 0.000
0.000 0.000 2.180
1.555 2.205 2.225
1.555 0.000 0.000
```

Space-group type = Immm
Crystal system = orthorhombic
Energy of formation from the pure elements = 0.00 eV per atom
N(E_F) = 3.0 states/eV/f.u.
M_tot = 0.00 Bohr magnetons per cell



Material: Te2MoCl
Method: DFT, meta-GGA SCAN
State: PBEsol geometry

Structure (POSCAR):
```
Te2MoCl
1.0
3.103 0.000 0.000
0.000 4.679 0.000
-1.551 -2.339 6.645
Te Cl Mo
2 1 1
Cartesian
0.000 0.000 4.411
1.551 2.339 2.234
1.551 0.000 0.000
0.000 2.339 0.000
```

Space-group type = Immm
Crystal system = orthorhombic
Excess energy over the best structure of this formula in the dataset = 369 meV/atom
N(E_F) = 3.3 states/eV/f.u.
M_tot = 0.00 Bohr magnetons per cell
ΔE_f (raw) = 0.188 eV per atom



Material: Te4P2O13
Method: DFT, meta-GGA SCAN
State: PBEsol geometry

Structure (POSCAR):
```
Te4P2O13
1.0
-1.460 2.815 3.395
-6.716 -8.128 3.852
15.370 -5.809 11.425
O Te P
52 16 8
Cartesian
-2.939 0.372 4.563
4.339 -6.855 11.147
-0.609 -9.579 9.850
2.856 -4.266 7.525
2.633 -6.878 13.061
7.745 -7.151 11.218
1.550 -3.107 5.337
8.219 -9.920 14.806
-0.550 -3.970 7.454
-2.674 -6.149 6.808
10.133 -11.493 14.109
7.803 -1.542 8.821
-3.506 -2.188 5.654
5.179 -3.314 7.930
4.562 -4.243 5.611
9.868 -4.972 11.864
6.889 -4.990 10.128
-2.120 -7.438 10.586
5.968 -2.561 10.467
9.315 -3.683 8.085
11.805 -6.506 13.070
6.109 -10.523 12.436
10.688 -3.696 13.867
8.790 -12.034 16.121
-1.758 -5.007 9.434
5.644 -8.014 13.334
10.324 -2.484 11.635
-0.066 -3.531 3.277
0.306 -6.131 8.544
0.533 -3.866 9.691
9.181 -6.777 13.772
3.490 -1.695 6.463
6.662 -7.255 8.981
-1.025 -1.201 3.865
-3.129 -8.637 7.037
-1.596 0.913 2.551
-5.064 -7.096 6.784
-1.987 -4.344 4.900
10.701 -8.933 13.018
-0.526 1.150 4.759
8.953 -6.114 9.238
1.226 -8.560 8.205
7.720 -12.271 13.913
4.818 -5.751 7.656
-4.611 -4.615 5.602
7.261 -7.590 15.394
-3.493 -7.425 4.804
2.376 -5.370 11.016
3.705 -9.426 12.209
2.016 -7.807 10.741
12.259 -4.025 11.888
1.085 -0.598 6.236
-1.989 -3.288 3.158
1.737 -2.309 7.076
2.199 -9.988 11.120
13.245 -5.718 12.081
7.968 -2.567 10.645
4.967 -4.194 10.437
10.122 -7.109 12.158
1.293 -2.157 3.580
-0.773 -8.554 8.027
5.901 -8.964 15.092
4.995 -1.133 7.552
-2.927 -4.012 6.513
-6.050 -5.403 6.590
5.458 -8.812 11.596
2.228 -6.927 8.235
9.183 -7.833 15.513
8.697 -11.370 14.708
-0.411 -4.746 8.742
-1.503 0.249 3.964
4.348 -4.359 7.122
7.605 -6.375 9.929
2.847 -6.762 11.550
-3.537 -7.343 6.373
10.731 -3.778 12.299
```

Space-group type = P2_1/c
Crystal system = monoclinic
N(E_F) = 0.0 states/eV/f.u.
M_tot = 0.00 Bohr magnetons per cell
ΔE_f (raw) = -1.595 eV per atom



Material: LaTlPb2
Method: DFT, meta-GGA SCAN
State: PBEsol geometry

Structure (POSCAR):
```
LaTlPb2
1.0
-3.488 0.135 -3.204
-3.178 -0.788 3.425
2.868 5.317 0.606
La Pb Tl
1 2 1
Cartesian
-1.977 2.563 -1.244
0.000 0.000 0.000
-1.821 2.101 2.071
-3.333 -0.327 0.110
```

Space-group type = I-4m2
Crystal system = tetragonal
Energy of formation from the pure elements = -0.50 eV per atom
N(E_F) = 1.8 states/eV/f.u.
M_tot = 0.00 Bohr magnetons per cell



Material: CoPtPb2
Method: DFT, meta-GGA SCAN
State: PBEsol geometry

Structure (POSCAR):
```
CoPtPb2
1.0
4.787 0.000 0.000
2.394 4.146 0.000
2.394 1.382 3.909
Pb Co Pt
2 1 1
Cartesian
0.000 0.000 0.000
7.181 4.146 2.932
4.787 2.764 1.954
2.394 1.382 0.977
```

Space-group type = F-43m
Crystal system = cubic
Energy of formation from the pure elements = 0.59 eV per atom
N(E_F) = 3.4 states/eV/f.u.
M_tot = 2.03 Bohr magnetons per cell



Material: RbLi3Ir
Method: DFT, meta-GGA SCAN
State: PBEsol geometry

Structure (POSCAR):
```
RbLi3Ir
1.0
-0.266 0.633 4.843
-3.830 -3.036 0.186
3.030 -3.782 0.661
Li Ir Rb
3 1 1
Cartesian
1.515 -1.891 0.330
-0.133 0.317 2.421
-1.915 -1.518 0.093
0.000 0.000 0.000
-0.533 -3.092 2.845
```

Space-group type = Pm-3m
Crystal system = cubic
Energy of formation from the pure elements = 0.25 eV per atom
N(E_F) = 2.0 states/eV/f.u.
M_tot = 0.00 Bohr magnetons per cell



Material: KS2ICl
Method: DFT, meta-GGA SCAN
State: PBEsol geometry

Structure (POSCAR):
```
KS2ICl
1.0
5.498 0.000 0.000
0.000 5.857 0.000
0.000 0.000 5.857
K I S Cl
1 1 2 1
Cartesian
0.000 0.000 0.000
2.749 2.928 2.928
0.000 2.928 0.000
0.000 0.000 2.928
2.749 0.000 0.000
```

Space-group type = P4/mmm
Crystal system = tetragonal
N(E_F) = 6.2 states/eV/f.u.
M_tot = 5.00 Bohr magnetons per cell
ΔE_f (raw) = 0.561 eV per atom



Material: AlPtC2
Method: DFT, meta-GGA SCAN
State: PBEsol geometry

Structure (POSCAR):
```
AlPtC2
1.0
-1.979 0.915 -4.180
-1.099 -4.559 -0.478
-2.394 2.558 4.352
Pt Al C
2 2 4
Cartesian
0.000 0.000 0.000
-2.516 -1.911 0.773
-2.956 0.826 -1.078
-1.539 -1.822 -2.329
-2.752 -0.265 -2.768
-3.725 -0.381 0.351
-2.293 -3.011 -0.877
-2.175 1.485 2.684
```

Space-group type = I-42d
Crystal system = tetragonal
Energy of formation from the pure elements = 0.63 eV per atom
N(E_F) = 1.2 states/eV/f.u.
M_tot = 0.00 Bohr magnetons per cell



Material: SbC2I
Method: DFT, meta-GGA SCAN
State: PBEsol geometry

Structure (POSCAR):
```
SbC2I
1.0
5.921 0.000 0.000
-2.961 5.024 0.098
0.000 3.394 4.852
C Sb I
4 2 2
Cartesian
4.441 3.216 2.827
1.199 5.041 1.893
-1.199 6.738 4.319
1.480 1.842 0.862
2.961 1.697 2.426
0.000 3.361 1.262
0.000 0.000 0.000
2.961 5.058 3.688
```

Space-group type = I-42d
Crystal system = tetragonal
N(E_F) = 0.7 states/eV/f.u.
M_tot = 0.00 Bohr magnetons per cell
ΔE_f (raw) = 2.050 eV per atom